Record 1
Density functional theory data (GGA-PBE) for an optimized crystal structure of Pu4NpS10.

Unit cell a=7.891 b=7.891 c=7.891 alpha=99.62 beta=99.62 gamma=131.74
Positions (direct):
Pu: 0.099 0.699 0.798
Pu: 0.301 0.099 0.400
Pu: 0.699 0.901 0.600
Pu: 0.901 0.301 0.202
Np: 0.500 0.500 0.000
S: 0.054 0.352 0.902
S: 0.152 0.054 0.702
S: 0.250 0.750 0.500
S: 0.352 0.450 0.298
S: 0.450 0.152 0.098
S: 0.550 0.848 0.902
S: 0.648 0.550 0.702
S: 0.750 0.250 0.500
S: 0.848 0.946 0.298
S: 0.946 0.648 0.098

Record 2
Density functional theory data (GGA-PBE) for an optimized crystal structure of Pu2NpS4.

## Properties
Relative energy among the computed polymorphs ... 0 meV/atom

Unit cell a=6.808 b=6.808 c=12.888 alpha=90.00 beta=90.00 gamma=146.91
Positions (direct):
Pu: 0.133 0.867 0.568
Pu: 0.133 0.867 0.932
Pu: 0.867 0.133 0.068
Pu: 0.867 0.133 0.432
Np: 0.382 0.618 0.750
Np: 0.618 0.382 0.250
S: 0.029 0.971 0.750
S: 0.226 0.774 0.126
S: 0.226 0.774 0.374
S: 0.500 0.500 0.000
S: 0.500 0.500 0.500
S: 0.774 0.226 0.626
S: 0.774 0.226 0.874
S: 0.971 0.029 0.250

Electronic total energy for the records above, in order: -132.19; -138.66 eV/cell
ΔE_f (raw) for the records above, in order: -1.376; -1.602 eV/atom